(1)
The following is a DFT calculation (PBE-GGA) of a relaxed Pm4PrDy crystal.

The structure in POSCAR format:
```
Pm4PrDy
1.0
0.403 -4.224 4.830
-1.762 -6.175 -0.327
5.620 -1.517 -1.785
Dy Pm Pr
1 4 1
Cartesian
0.000 0.000 0.000
-0.659 -7.096 2.961
2.308 -2.502 -0.022
1.954 -9.414 2.741
4.921 -4.820 -0.242
2.131 -5.958 1.359
```

Properties
space-group type = No. 12
mass density = 7.13 g cm⁻³
total magnetic moment = 0.00 μB per formula unit
Fermi-level density of states = 10.5 states/eV per cell

=====

(2)
The following is a DFT calculation (PBE-GGA) of a relaxed Pm4PrDy crystal.

The structure in POSCAR format:
```
Pm4PrDy
1.0
3.651 0.000 0.000
0.000 4.957 -1.335
0.000 -2.098 11.923
Pm Dy Pr
4 1 1
Cartesian
0.000 1.901 7.031
1.826 -0.105 9.456
0.000 0.958 3.557
1.826 2.964 1.131
1.826 -1.049 5.961
0.000 0.000 0.000
```

Properties
space-group type = No. 47
mass density = 7.14 g cm⁻³
total magnetic moment = 0.00 μB per formula unit
Fermi-level density of states = 8.7 states/eV per cell

=====

Winner for stability: (2)

=====

(1)
The following is a DFT calculation (PBE-GGA) of a relaxed Pm5Pr3Dy3 crystal.

The structure in POSCAR format:
```
Pm5Pr3Dy3
1.0
-3.011 -2.890 -3.745
0.868 -7.969 5.450
-7.476 6.017 1.368
Dy Pm Pr
3 5 3
Cartesian
-7.126 3.079 -0.844
-0.853 -7.436 2.225
-3.145 -1.929 -0.181
-6.200 -0.090 0.856
-1.176 -4.471 0.197
-4.345 0.840 -1.353
-5.604 -2.655 2.356
-3.419 -4.752 2.217
0.517 -4.746 3.246
-2.672 -0.789 2.757
-4.452 3.583 0.815
```

Properties
space-group type = No. 189
mass density = 5.95 g cm⁻³
total magnetic moment = 0.00 μB per formula unit
Fermi-level density of states = 21.5 states/eV per cell

=====

(2)
The following is a DFT calculation (PBE-GGA) of a relaxed Pm5Pr3Dy3 crystal.

The structure in POSCAR format:
```
Pm5Pr3Dy3
1.0
-3.629 -0.031 4.063
-7.253 -1.145 -6.485
4.398 -7.853 3.867
Pr Pm Dy
3 5 3
Cartesian
-3.642 -5.778 0.355
-0.233 -2.839 3.422
-4.422 -0.427 -0.300
-7.142 -0.857 -2.732
-5.183 -3.397 -1.003
1.416 -5.785 4.872
-2.572 -2.404 1.337
-1.300 -5.633 2.448
-3.848 -0.607 -3.440
2.333 -4.166 2.051
-1.340 -4.225 -1.229
```

Properties
space-group type = No. 189
mass density = 6.00 g cm⁻³
total magnetic moment = 0.00 μB per formula unit
Fermi-level density of states = 15.7 states/eV per cell

=====

Winner for stability: (1)

=====

(1)
The following is a DFT calculation (PBE-GGA) of a relaxed PmPr6Dy2 crystal.

The structure in POSCAR format:
```
PmPr6Dy2
1.0
-0.583 4.807 -1.907
-5.285 -4.103 -8.726
-9.564 0.958 5.342
Pr Dy Pm
12 4 2
Cartesian
-7.473 0.868 -9.725
-7.127 3.926 -2.125
-1.190 1.713 -2.418
-7.959 0.793 4.434
-11.499 -1.931 -1.349
-9.331 0.988 -1.754
-7.531 2.362 1.157
-3.934 3.592 -3.942
-7.901 -0.700 -6.448
-8.305 -2.264 -3.166
-6.101 0.673 -3.537
-14.243 -0.052 -2.873
-4.360 2.039 -0.628
-5.702 2.230 -6.834
-11.072 -0.377 -4.662
-9.730 -0.569 1.543
-2.934 0.352 -5.316
-4.782 0.479 2.671
```

Properties
space-group type = No. 136
mass density = 6.94 g cm⁻³
total magnetic moment = 0.00 μB per formula unit
Fermi-level density of states = 24.7 states/eV per cell

=====

(2)
The following is a DFT calculation (PBE-GGA) of a relaxed PmPr6Dy2 crystal.

The structure in POSCAR format:
```
PmPr6Dy2
1.0
4.678 -3.256 -2.142
-2.192 14.714 -1.123
-5.878 -0.338 13.708
Pr Pm Dy
12 2 4
Cartesian
-4.125 4.402 10.329
-2.635 4.205 5.234
-0.150 9.456 2.674
-3.242 1.664 7.769
-1.082 -1.747 8.882
-3.481 6.970 7.831
-2.310 12.867 1.561
0.088 4.150 2.613
0.733 6.718 0.114
-0.757 6.916 5.210
-0.825 10.481 -0.492
-2.567 0.639 10.935
-1.056 13.764 -1.524
-2.336 -2.644 11.968
-5.587 7.840 10.548
2.195 3.280 -0.105
-1.090 1.046 4.771
-2.303 10.074 5.672
```

Properties
space-group type = No. 15
mass density = 6.87 g cm⁻³
total magnetic moment = 0.00 μB per formula unit
Fermi-level density of states = 26.6 states/eV per cell

=====

Winner for stability: (1)

=====

(1)
The following is a DFT calculation (PBE-GGA) of a relaxed Pm3Pr5Dy2 crystal.

The structure in POSCAR format:
```
Pm3Pr5Dy2
1.0
-3.697 -2.134 -9.258
6.543 -4.588 -6.333
-3.726 -3.317 10.255
Pr Dy Pm
10 4 6
Cartesian
2.942 -5.396 0.487
-2.165 -4.131 -0.990
-3.129 -6.927 0.040
-1.926 -7.258 -4.380
-3.391 -3.868 3.455
1.285 -5.909 -4.346
-3.822 -4.644 -5.823
2.511 -6.172 -8.791
1.046 -2.782 -0.956
2.249 -3.114 -5.376
0.174 -6.822 -1.230
4.611 -5.737 -5.641
-5.491 -4.303 0.305
-1.054 -3.218 -4.106
1.987 -8.167 1.507
-2.867 -1.873 -6.843
-0.513 -4.534 -7.097
-4.934 -5.575 -2.703
4.054 -4.465 -2.633
-0.368 -5.506 1.761
```

Properties
space-group type = No. 15
mass density = 6.91 g cm⁻³
total magnetic moment = 0.00 μB per formula unit
Fermi-level density of states = 33.3 states/eV per cell

=====

(2)
The following is a DFT calculation (PBE-GGA) of a relaxed Pm3Pr5Dy2 crystal.

The structure in POSCAR format:
```
Pm3Pr5Dy2
1.0
-11.008 1.560 -1.341
-6.558 -7.508 -1.656
-6.934 -2.940 6.738
Pr Dy Pm
10 4 6
Cartesian
-12.518 -6.399 1.801
-15.626 -7.075 3.151
-11.981 -2.490 1.939
-9.498 -4.834 2.205
-18.099 -4.680 2.857
-8.873 -1.813 0.589
-6.400 -4.209 0.883
-15.001 -4.054 1.535
-21.130 -6.296 2.480
-3.369 -2.593 1.260
-11.281 -0.309 -1.268
-18.657 -8.580 2.902
-5.842 -0.308 0.838
-13.218 -8.579 5.008
-6.529 -2.581 3.834
-8.256 1.170 -1.006
-2.752 0.390 -0.335
-17.970 -6.307 -0.094
-11.845 -4.083 -1.030
-12.654 -4.805 4.770
```

Properties
space-group type = No. 72
mass density = 6.56 g cm⁻³
total magnetic moment = 0.00 μB per formula unit
Fermi-level density of states = 29.3 states/eV per cell

=====

Winner for stability: (1)

=====

(1)
The following is a DFT calculation (PBE-GGA) of a relaxed Pm5Pr2Dy4 crystal.

The structure in POSCAR format:
```
Pm5Pr2Dy4
1.0
-2.239 2.708 -0.482
-5.366 -5.364 -5.200
-2.233 -1.951 12.451
Dy Pm Pr
4 5 2
Cartesian
-4.966 -1.960 -0.988
-4.872 -2.646 7.757
-1.674 -1.673 -1.622
-3.692 -3.690 -3.578
-6.032 -5.243 -1.431
-3.806 0.636 8.199
-7.057 -2.613 5.049
-1.119 1.354 -0.241
-2.781 -1.993 1.719
-6.602 -2.849 1.616
-3.236 -1.758 5.152
```

Properties
space-group type = No. 71
mass density = 7.14 g cm⁻³
total magnetic moment = 0.00 μB per formula unit
Fermi-level density of states = 15.9 states/eV per cell

=====

(2)
The following is a DFT calculation (PBE-GGA) of a relaxed Pm5Pr2Dy4 crystal.

The structure in POSCAR format:
```
Pm5Pr2Dy4
1.0
-3.177 1.615 -0.057
-3.835 -7.827 -7.887
-1.006 -5.661 7.055
Dy Pm Pr
4 5 2
Cartesian
-6.863 -9.545 0.691
-1.155 -2.329 -1.581
-5.375 -6.797 -4.359
-2.643 -5.077 3.469
-6.844 -9.633 -2.824
-2.550 -5.120 -2.892
-1.588 0.807 -0.029
-1.174 -2.240 1.934
-5.468 -6.753 2.003
-3.963 -7.837 -1.128
-4.055 -4.037 0.238
```

Properties
space-group type = No. 12
mass density = 7.38 g cm⁻³
total magnetic moment = 0.00 μB per formula unit
Fermi-level density of states = 15.6 states/eV per cell

=====

Winner for stability: (2)

=====

(1)
The following is a DFT calculation (PBE-GGA) of a relaxed Pm3Pr2Dy6 crystal.

The structure in POSCAR format:
```
Pm3Pr2Dy6
1.0
-5.851 0.594 -1.917
-3.652 -4.990 -0.380
-5.376 1.865 10.287
Pm Dy Pr
3 6 2
Cartesian
0.000 0.000 0.000
-6.339 -2.956 -1.528
-3.164 -1.440 -0.768
-5.972 -0.851 1.319
-8.423 1.845 6.289
-5.739 -0.213 7.437
-8.907 -1.681 6.672
-2.805 0.613 2.081
-9.140 -2.318 0.554
-6.098 -2.295 4.571
-8.782 -0.236 3.420
```

Properties
space-group type = No. 12
mass density = 7.31 g cm⁻³
total magnetic moment = 0.00 μB per formula unit
Fermi-level density of states = 16.3 states/eV per cell

=====

(2)
The following is a DFT calculation (PBE-GGA) of a relaxed Pm3Pr2Dy6 crystal.

The structure in POSCAR format:
```
Pm3Pr2Dy6
1.0
4.786 0.000 0.000
0.000 4.786 0.000
-2.393 -2.393 16.718
Dy Pm Pr
6 3 2
Cartesian
2.393 0.000 12.652
0.000 0.000 10.226
0.000 2.393 12.652
2.393 0.000 4.066
2.393 2.393 6.492
0.000 2.393 4.066
2.393 2.393 9.930
0.000 0.000 6.788
0.000 0.000 0.000
0.000 0.000 15.165
2.393 2.393 1.552
```

Properties
space-group type = No. 139
mass density = 7.34 g cm⁻³
total magnetic moment = 0.00 μB per formula unit
Fermi-level density of states = 16.0 states/eV per cell

=====

Winner for stability: (1)

=====

(1)
The following is a DFT calculation (PBE-GGA) of a relaxed PmPrDy4 crystal.

The structure in POSCAR format:
```
PmPrDy4
1.0
-3.265 3.225 2.128
-0.562 -7.050 3.796
6.521 8.724 -3.200
Dy Pm Pr
4 1 1
Cartesian
0.172 2.353 2.708
4.145 8.512 -0.511
2.521 2.547 0.017
-1.452 -3.613 3.236
1.065 -1.075 3.260
-3.827 -3.824 5.924
```

Properties
space-group type = No. 12
mass density = 7.93 g cm⁻³
total magnetic moment = 0.00 μB per formula unit
Fermi-level density of states = 8.4 states/eV per cell

=====

(2)
The following is a DFT calculation (PBE-GGA) of a relaxed PmPrDy4 crystal.

The structure in POSCAR format:
```
PmPrDy4
1.0
-5.515 3.183 1.883
-5.875 -1.740 -2.559
-4.488 -3.093 3.793
Dy Pm Pr
4 1 1
Cartesian
-7.680 0.513 0.054
-6.988 -0.162 3.225
-7.168 -2.620 1.007
-9.921 -1.031 1.947
-3.970 -0.413 0.779
0.000 0.000 0.000
```

Properties
space-group type = No. 216
mass density = 7.51 g cm⁻³
total magnetic moment = 1.76 μB per formula unit
Fermi-level density of states = 15.0 states/eV per cell

=====

Winner for stability: (1)

=====

(1)
The following is a DFT calculation (PBE-GGA) of a relaxed Pm12Pr5Dy2 crystal.

The structure in POSCAR format:
```
Pm12Pr5Dy2
1.0
-2.659 2.047 5.317
8.793 2.189 5.947
2.871 10.450 -0.195
Pm Dy Pr
12 2 5
Cartesian
4.544 12.476 6.756
4.492 6.217 4.030
1.385 1.516 0.703
4.514 8.470 7.040
1.539 8.319 4.065
4.557 10.426 3.987
4.448 4.261 7.082
4.461 2.210 4.313
7.620 13.171 10.366
7.454 8.417 9.774
7.467 6.367 7.005
1.551 6.270 1.295
4.231 8.553 1.216
7.433 4.087 4.537
7.689 11.061 7.463
-1.329 1.023 2.658
1.503 5.855 6.424
1.317 3.626 3.606
7.502 8.832 4.645
```

Properties
space-group type = No. 12
mass density = 6.97 g cm⁻³
total magnetic moment = 0.00 μB per formula unit
Fermi-level density of states = 28.5 states/eV per cell

=====

(2)
The following is a DFT calculation (PBE-GGA) of a relaxed Pm12Pr5Dy2 crystal.

The structure in POSCAR format:
```
Pm12Pr5Dy2
1.0
-0.324 -4.993 5.222
9.012 -0.100 -4.546
6.986 5.477 5.670
Pm Pr Dy
12 5 2
Cartesian
5.723 4.033 4.211
11.056 -0.828 -0.107
3.505 -3.845 4.071
9.952 -3.650 2.135
4.619 1.211 6.453
9.621 2.355 0.355
12.007 1.714 4.905
3.667 -1.330 1.441
9.460 -0.131 2.954
6.053 -1.971 5.991
6.214 0.514 3.392
12.170 4.228 2.274
8.466 0.929 6.422
6.692 -3.129 2.431
8.982 3.512 3.915
7.208 -0.546 -0.076
3.493 2.739 2.835
-0.091 -1.397 1.461
-0.233 -3.596 3.761
```

Properties
space-group type = No. 12
mass density = 6.89 g cm⁻³
total magnetic moment = 0.00 μB per formula unit
Fermi-level density of states = 31.1 states/eV per cell

=====

Winner for stability: (1)

=====

(1)
The following is a DFT calculation (PBE-GGA) of a relaxed Pm6Pr2Dy crystal.

The structure in POSCAR format:
```
Pm6Pr2Dy
1.0
-2.274 -1.270 2.327
-3.094 -7.057 -6.874
8.800 -1.391 5.222
Dy Pm Pr
1 6 2
Cartesian
0.000 0.000 0.000
-2.088 -2.803 -0.948
1.451 -3.165 -0.311
1.980 -6.553 0.986
-3.281 -5.524 -3.599
-0.483 -7.577 -4.609
3.914 -2.140 5.284
-0.643 -6.016 -1.291
4.074 -3.701 1.966
```

Properties
space-group type = No. 71
mass density = 6.90 g cm⁻³
total magnetic moment = 0.00 μB per formula unit
Fermi-level density of states = 17.7 states/eV per cell

=====

(2)
The following is a DFT calculation (PBE-GGA) of a relaxed Pm6Pr2Dy crystal.

The structure in POSCAR format:
```
Pm6Pr2Dy
1.0
6.152 -0.092 -0.089
1.202 10.183 1.605
1.202 1.934 10.126
Pr Pm Dy
4 12 2
Cartesian
4.396 5.283 2.578
1.320 2.794 5.242
7.237 9.232 6.400
4.161 6.742 9.064
5.786 1.512 7.912
4.382 1.817 3.579
2.710 8.002 1.299
4.175 10.209 8.064
7.239 5.799 7.454
7.251 8.344 9.898
2.771 10.514 3.731
5.847 4.023 10.343
4.163 7.684 5.599
4.394 4.342 6.043
1.318 6.226 4.188
1.306 3.682 1.744
2.740 3.119 8.857
5.816 8.907 2.785
```

Properties
space-group type = No. 15
mass density = 7.07 g cm⁻³
total magnetic moment = 0.00 μB per formula unit
Fermi-level density of states = 24.3 states/eV per cell

=====

Winner for stability: (2)

=====

(1)
The following is a DFT calculation (PBE-GGA) of a relaxed PmPrDy5 crystal.

The structure in POSCAR format:
```
PmPrDy5
1.0
6.197 0.119 2.796
2.325 5.746 2.796
1.088 0.749 13.808
Pm Dy Pr
2 10 2
Cartesian
5.944 2.235 13.152
3.666 4.379 6.248
5.822 3.814 3.781
6.511 5.390 14.416
2.794 2.832 11.888
6.817 3.782 7.513
3.099 1.223 4.984
3.788 2.800 15.619
6.186 4.450 10.685
3.777 5.383 13.152
5.833 1.231 6.248
3.424 2.164 8.716
0.544 0.374 6.904
0.000 0.000 0.000
```

Properties
space-group type = No. 15
mass density = 7.88 g cm⁻³
total magnetic moment = 0.00 μB per formula unit
Fermi-level density of states = 19.3 states/eV per cell

=====

(2)
The following is a DFT calculation (PBE-GGA) of a relaxed PmPrDy5 crystal.

The structure in POSCAR format:
```
PmPrDy5
1.0
-1.132 4.794 -3.000
-6.801 3.271 2.248
0.974 6.455 4.403
Dy Pm Pr
5 1 1
Cartesian
-0.990 8.280 2.516
-2.317 6.039 -0.563
-2.914 4.863 3.326
-4.642 8.481 4.215
-5.969 6.241 1.136
-3.479 7.260 1.826
0.000 0.000 0.000
```

Properties
space-group type = No. 71
mass density = 6.17 g cm⁻³
total magnetic moment = 0.00 μB per formula unit
Fermi-level density of states = 10.4 states/eV per cell

=====

Winner for stability: (1)